The following is a PBE calculation of crystalline Ta2MoBr at its relaxed geometry, from Alexandria via LeMat-Bulk.

Geometry as POSCAR:
```
Ta2MoBr
1.0
-3.713 1.933 -3.320
-2.638 -3.816 -2.650
1.127 1.930 4.853
Ta Br Mo
2 1 1
Cartesian
-0.027 -0.008 -0.025
-3.149 -0.934 -2.960
-2.881 1.461 -0.726
-2.344 -1.414 -0.391
```

Calculated values
space-group type: Immm (71)
magnetic moment: 0.00 Bohr magnetons per cell
density of states at the Fermi level: 0.84 states/eV/atom
ΔE to the lowest computed polymorph: 366.4 meV/atom